Record 1
A plane-wave DFT calculation with GGA-PBE was carried out for a geometry-optimized BaInSnHg structure.

Distance to the lowest polymorph of the same formula, meV/atom: 32.2
Density of states at the Fermi level, states/eV/f.u.: 0.9
Total magnetic moment, μB per formula unit: 0.0
Energy, eV per atom: -2.55
Calculated formation energy, eV per atom: -0.3039

Lattice parameters (Å, degrees): 8.694 5.013 6.480 90.00 90.07 90.00
Space group Cm (No. 8)
Asymmetric unit:
Ba: 0.000 0.000 0.000 x2
In: 0.334 0.000 0.483 x2
Sn: 0.167 0.500 0.291 x2
Hg: 0.167 0.500 0.741 x2

---

Record 2
A plane-wave DFT calculation with GGA-PBE was carried out for a geometry-optimized PmMgNiAs structure.

Density of states at the Fermi level, states/eV/f.u.: 1.9
Total magnetic moment, μB per formula unit: 0.0
Energy, eV per atom: -4.62
Calculated formation energy, eV per atom: -0.4297

Lattice parameters (Å, degrees): 6.828 6.828 6.828 90.00 90.00 90.00
Space group F-43m (No. 216)
Asymmetric unit:
Pm: 0.000 0.000 0.000 x4
Mg: 0.000 0.000 0.500 x4
Ni: 0.250 0.250 0.750 x4
As: 0.250 0.250 0.250 x4

---

Record 3
A plane-wave DFT calculation with GGA-PBE was carried out for a geometry-optimized ZnCu2Hg structure.

Density of states at the Fermi level, states/eV/f.u.: 0.7
Total magnetic moment, μB per formula unit: 0.0
Energy, eV per atom: -2.37
Calculated formation energy, eV per atom: 0.0736

Lattice parameters (Å, degrees): 3.117 3.117 6.265 90.00 90.00 90.00
Space group P4mm (No. 99)
Asymmetric unit:
Zn: 0.000 0.000 0.000 x1
Cu: 0.000 0.000 0.413 x1
Cu: 0.500 0.500 0.211 x1
Hg: 0.500 0.500 0.689 x1

---

Record 4
A plane-wave DFT calculation with GGA-PBE was carried out for a geometry-optimized PmSm4Tm15 structure.

Density of states at the Fermi level, states/eV/f.u.: 28.0
Total magnetic moment, μB per formula unit: 0.0
Energy, eV per atom: -4.51
Calculated formation energy, eV per atom: 0.0257

Lattice parameters (Å, degrees): 4.986 4.986 24.856 90.00 90.00 90.00
Space group P4/mmm (No. 123)
Asymmetric unit:
Pm: 0.000 0.000 0.000 x1
Sm: 0.000 0.000 0.200 x2
Sm: 0.000 0.000 0.400 x2
Tm: 0.000 0.500 0.100 x4
Tm: 0.000 0.500 0.300 x4
Tm: 0.000 0.500 0.500 x2
Tm: 0.500 0.500 0.000 x1
Tm: 0.500 0.500 0.200 x2
Tm: 0.500 0.500 0.400 x2

---

Record 5
A plane-wave DFT calculation with GGA-PBE was carried out for a geometry-optimized Pu2MnIn structure.

Distance to the lowest polymorph of the same formula, meV/atom: 204.2
Density of states at the Fermi level, states/eV/f.u.: 10.8
Total magnetic moment, μB per formula unit: 7.9
Energy, eV per atom: -10.01
Calculated formation energy, eV per atom: 0.1349

Lattice parameters (Å, degrees): 7.246 7.246 7.246 90.00 90.00 90.00
Space group Fm-3m (No. 225)
Asymmetric unit:
Pu: 0.250 0.250 0.250 x8
Mn: 0.000 0.000 0.000 x4
In: 0.000 0.000 0.500 x4

---

Record 6
A plane-wave DFT calculation with GGA-PBE was carried out for a geometry-optimized ZnSiAu2 structure.

Density of states at the Fermi level, states/eV/f.u.: 1.5
Total magnetic moment, μB per formula unit: 0.0
Energy, eV per atom: -3.22

Lattice parameters (Å, degrees): 4.196 4.196 3.784 90.00 90.00 90.00
Space group P4/mmm (No. 123)
Asymmetric unit:
Zn: 0.000 0.000 0.000 x1
Si: 0.500 0.500 0.000 x1
Au: 0.000 0.500 0.500 x2

---

Record 7
A plane-wave DFT calculation with GGA-PBE was carried out for a geometry-optimized HoMg4Cd2 structure.

Distance to the lowest polymorph of the same formula, meV/atom: 232.1
Density of states at the Fermi level, states/eV/f.u.: 3.1
Total magnetic moment, μB per formula unit: 0.0
Energy, eV per atom: -1.69
Calculated formation energy, eV per atom: 0.1341

Lattice parameters (Å, degrees): 5.948 10.604 11.024 90.00 90.00 90.00
Space group Fmmm (No. 69)
Asymmetric unit:
Ho: 0.000 0.000 0.000 x4
Mg: 0.250 0.250 0.000 x8
Mg: 0.250 0.250 0.250 x8
Cd: 0.000 0.000 0.346 x8

---

Record 8
A plane-wave DFT calculation with GGA-PBE was carried out for a geometry-optimized Li2TaHPt structure.

Density of states at the Fermi level, states/eV/f.u.: 2.8
Total magnetic moment, μB per formula unit: 0.0
Energy, eV per atom: -5.26

Lattice parameters (Å, degrees): 3.771 3.771 4.363 90.00 90.00 90.00
Space group P4/mmm (No. 123)
Asymmetric unit:
Li: 0.000 0.500 0.000 x2
Ta: 0.000 0.000 0.500 x1
H: 0.000 0.000 0.000 x1
Pt: 0.500 0.500 0.500 x1

---

Record 9
A plane-wave DFT calculation with GGA-PBE was carried out for a geometry-optimized LaTiAl2Br structure.

Density of states at the Fermi level, states/eV/f.u.: 7.1
Total magnetic moment, μB per formula unit: 0.9
Energy, eV per atom: -3.18

Lattice parameters (Å, degrees): 5.903 5.903 5.088 90.00 90.00 90.00
Space group P4/mmm (No. 123)
Asymmetric unit:
La: 0.000 0.000 0.000 x1
Ti: 0.000 0.000 0.500 x1
Al: 0.000 0.500 0.000 x2
Br: 0.500 0.500 0.500 x1

---

Record 10
A plane-wave DFT calculation with GGA-PBE was carried out for a geometry-optimized Au2SeBr structure.

Distance to the lowest polymorph of the same formula, meV/atom: 409.6
Density of states at the Fermi level, states/eV/f.u.: 3.1
Total magnetic moment, μB per formula unit: 0.0
Energy, eV per atom: -2.50

Lattice parameters (Å, degrees): 3.476 3.490 7.221 90.00 90.00 90.00
Space group Pmmm (No. 47)
Asymmetric unit:
Au: 0.000 0.000 0.204 x2
Se: 0.500 0.500 0.000 x1
Br: 0.500 0.500 0.500 x1

---

Record 11
A plane-wave DFT calculation with GGA-PBE was carried out for a geometry-optimized B5C7 structure.

Distance to the lowest polymorph of the same formula, meV/atom: 162.3
Density of states at the Fermi level, states/eV/f.u.: 3.6
Total magnetic moment, μB per formula unit: 0.0
Energy, eV per atom: -7.74
Calculated formation energy, eV per atom: 0.4202

Lattice parameters (Å, degrees): 8.467 3.752 5.251 90.00 108.34 90.00
Space group C2 (No. 5)
Asymmetric unit:
B: 0.000 0.000 0.000 x2
B: 0.165 0.510 0.834 x4
B: 0.168 0.512 0.333 x4
C: 0.000 0.003 0.500 x2
C: 0.002 0.760 0.264 x4
C: 0.158 0.235 0.581 x4
C: 0.170 0.242 0.084 x4

---

Record 12
A plane-wave DFT calculation with GGA-PBE was carried out for a geometry-optimized PtRh2Au structure.

Distance to the lowest polymorph of the same formula, meV/atom: 188.0
Density of states at the Fermi level, states/eV/f.u.: 4.6
Total magnetic moment, μB per formula unit: 1.0
Energy, eV per atom: -5.76
Calculated formation energy, eV per atom: 0.2462

Lattice parameters (Å, degrees): 6.310 6.310 6.310 90.00 90.00 90.00
Space group Fm-3m (No. 225)
Asymmetric unit:
Pt: 0.000 0.000 0.000 x4
Rh: 0.250 0.250 0.250 x8
Au: 0.000 0.000 0.500 x4

---

Record 13
A plane-wave DFT calculation with GGA-PBE was carried out for a geometry-optimized YTl2F8 structure.

Distance to the lowest polymorph of the same formula, meV/atom: 0.0
Density of states at the Fermi level, states/eV/f.u.: 1.5
Total magnetic moment, μB per formula unit: 0.0
Energy, eV per atom: -4.94

Lattice parameters (Å, degrees): 10.198 7.598 4.622 90.00 106.70 90.00
Space group C2/m (No. 12)
Asymmetric unit:
Y: 0.000 0.000 0.000 x2
Tl: 0.159 0.500 0.354 x4
F: 0.085 0.500 0.791 x4
F: 0.130 0.000 0.699 x4
F: 0.147 0.204 0.238 x8

---

Record 14
A plane-wave DFT calculation with GGA-PBE was carried out for a geometry-optimized LuMgNiHg structure.

Density of states at the Fermi level, states/eV/f.u.: 3.7
Total magnetic moment, μB per formula unit: 0.0
Energy, eV per atom: -3.33
Calculated formation energy, eV per atom: -0.2849

Lattice parameters (Å, degrees): 6.770 6.770 6.770 90.00 90.00 90.00
Space group F-43m (No. 216)
Asymmetric unit:
Lu: 0.000 0.000 0.000 x4
Mg: 0.000 0.000 0.500 x4
Ni: 0.250 0.250 0.750 x4
Hg: 0.250 0.250 0.250 x4